*one*
The following is a PBE calculation of CeTc3P3 after structural relaxation, from the Alexandria database.

a = 6.4659 Å, b = 6.4659 Å, c = 6.4659 Å
α = 90.00°, β = 90.00°, γ = 90.00°
Space group Pm-3n (No. 223)
Inequivalent atoms, fractional coordinates:
Ce 0.0000 0.0000 0.0000 (multiplicity 2)
Tc 0.0000 0.2500 0.5000 (multiplicity 6)
P 0.0000 0.5000 0.2500 (multiplicity 6)

*two*
The following is a PBE calculation of CeTc3P3 after structural relaxation, from the Alexandria database.

a = 8.0873 Å, b = 8.0873 Å, c = 4.3521 Å
α = 90.00°, β = 90.00°, γ = 120.00°
Space group P6_3/m (No. 176)
Inequivalent atoms, fractional coordinates:
Ce 0.3333 0.6667 0.2500 (multiplicity 2)
Tc 0.0564 0.8366 0.2500 (multiplicity 6)
P 0.0933 0.7062 0.7500 (multiplicity 6)

The data favor *two*; the next most stable structure lies 347 meV per atom above it.

*one*
The following is a PBE calculation of CeThP2 after structural relaxation, from the Alexandria database.

a = 4.0781 Å, b = 4.0781 Å, c = 13.6656 Å
α = 90.00°, β = 90.00°, γ = 120.00°
Space group P6_3/mmc (No. 194)
Inequivalent atoms, fractional coordinates:
Ce 0.0000 0.0000 0.0000 (multiplicity 2)
Th 0.3333 0.6667 0.2500 (multiplicity 2)
P 0.3333 0.6667 0.6213 (multiplicity 4)

*two*
The following is a PBE calculation of CeThP2 after structural relaxation, from the Alexandria database.

a = 4.0409 Å, b = 4.0409 Å, c = 21.3733 Å
α = 90.00°, β = 90.00°, γ = 120.00°
Space group R3m (No. 160, hexagonal axes)
Inequivalent atoms, fractional coordinates:
Ce 0.0000 0.0000 0.0000 (multiplicity 3)
Th 0.0000 0.0000 0.8259 (multiplicity 3)
P 0.0000 0.0000 0.2450 (multiplicity 3)
P 0.0000 0.0000 0.4131 (multiplicity 3)

*three*
The following is a PBE calculation of CeThP2 after structural relaxation, from the Alexandria database.

a = 4.1224 Å, b = 4.1224 Å, c = 20.1313 Å
α = 90.00°, β = 90.00°, γ = 120.00°
Space group R-3m (No. 166, hexagonal axes)
Inequivalent atoms, fractional coordinates:
Ce 0.0000 0.0000 0.0000 (multiplicity 3)
Th 0.0000 0.0000 0.5000 (multiplicity 3)
P 0.0000 0.0000 0.2512 (multiplicity 6)

*four*
The following is a PBE calculation of CeThP2 after structural relaxation, from the Alexandria database.

a = 4.0844 Å, b = 4.0844 Å, c = 7.1092 Å
α = 90.00°, β = 90.00°, γ = 120.00°
Space group P-3m1 (No. 164)
Inequivalent atoms, fractional coordinates:
Ce 0.0000 0.0000 0.0000 (multiplicity 1)
Th 0.0000 0.0000 0.5000 (multiplicity 1)
P 0.3333 0.6667 0.2505 (multiplicity 2)

The data favor *three*; the next most stable structure lies 47 meV per atom above it.

*one*
The following is a PBE calculation of CeTiP2 after structural relaxation, from the Alexandria database.

a = 3.8008 Å, b = 3.8008 Å, c = 18.4666 Å
α = 90.00°, β = 90.00°, γ = 120.00°
Space group R-3m (No. 166, hexagonal axes)
Inequivalent atoms, fractional coordinates:
Ce 0.0000 0.0000 0.0000 (multiplicity 3)
Ti 0.0000 0.0000 0.5000 (multiplicity 3)
P 0.0000 0.0000 0.2379 (multiplicity 6)

*two*
The following is a PBE calculation of CeTiP2 after structural relaxation, from the Alexandria database.

a = 3.7760 Å, b = 3.7760 Å, c = 19.0381 Å
α = 90.00°, β = 90.00°, γ = 120.00°
Space group R3m (No. 160, hexagonal axes)
Inequivalent atoms, fractional coordinates:
Ce 0.0000 0.0000 0.0000 (multiplicity 3)
Ti 0.0000 0.0000 0.1769 (multiplicity 3)
P 0.0000 0.0000 0.4351 (multiplicity 3)
P 0.0000 0.0000 0.5761 (multiplicity 3)

*three*
The following is a PBE calculation of CeTiP2 after structural relaxation, from the Alexandria database.

a = 7.4961 Å, b = 6.4874 Å, c = 6.4083 Å
α = 90.00°, β = 90.00°, γ = 90.00°
Space group Pbcm (No. 57)
Inequivalent atoms, fractional coordinates:
Ce 0.1360 0.0972 0.2500 (multiplicity 4)
Ti 0.3743 0.5782 0.2500 (multiplicity 4)
P 0.1503 0.7500 0.0000 (multiplicity 4)
P 0.4104 0.2500 0.0000 (multiplicity 4)

The data favor *one*; the next most stable structure lies 122 meV per atom above it.

*one*
The following is a PBE calculation of Ce2YP after structural relaxation, from the Alexandria database.

a = 3.7290 Å, b = 3.7290 Å, c = 29.8366 Å
α = 90.00°, β = 90.00°, γ = 120.00°
Space group R-3m (No. 166, hexagonal axes)
Inequivalent atoms, fractional coordinates:
Ce 0.0000 0.0000 0.1084 (multiplicity 6)
Y 0.0000 0.0000 0.0000 (multiplicity 3)
P 0.0000 0.0000 0.5000 (multiplicity 3)

*two*
The following is a PBE calculation of Ce2YP after structural relaxation, from the Alexandria database.

a = 3.8064 Å, b = 3.8064 Å, c = 28.1534 Å
α = 90.00°, β = 90.00°, γ = 120.00°
Space group R3m (No. 160, hexagonal axes)
Inequivalent atoms, fractional coordinates:
Ce 0.0000 0.0000 0.0000 (multiplicity 3)
Ce 0.0000 0.0000 0.2096 (multiplicity 3)
Y 0.0000 0.0000 0.4388 (multiplicity 3)
P 0.0000 0.0000 0.6049 (multiplicity 3)

The data favor *two*; the next most stable structure lies 154 meV per atom above it.

*one*
The following is a PBE calculation of Ce2ZnP after structural relaxation, from the Alexandria database.

a = 3.6379 Å, b = 3.6379 Å, c = 6.7833 Å
α = 90.00°, β = 90.00°, γ = 90.00°
Space group P4/mmm (No. 123)
Inequivalent atoms, fractional coordinates:
Ce 0.0000 0.0000 0.2247 (multiplicity 2)
Zn 0.5000 0.5000 0.5000 (multiplicity 1)
P 0.5000 0.5000 0.0000 (multiplicity 1)

*two*
The following is a PBE calculation of Ce2ZnP after structural relaxation, from the Alexandria database.

a = 3.7706 Å, b = 3.7706 Å, c = 29.4553 Å
α = 90.00°, β = 90.00°, γ = 120.00°
Space group R-3m (No. 166, hexagonal axes)
Inequivalent atoms, fractional coordinates:
Ce 0.0000 0.0000 0.1086 (multiplicity 6)
Zn 0.0000 0.0000 0.0000 (multiplicity 3)
P 0.0000 0.0000 0.5000 (multiplicity 3)

*three*
The following is a PBE calculation of Ce2ZnP after structural relaxation, from the Alexandria database.

a = 3.9394 Å, b = 3.9394 Å, c = 23.2006 Å
α = 90.00°, β = 90.00°, γ = 120.00°
Space group R3m (No. 160, hexagonal axes)
Inequivalent atoms, fractional coordinates:
Ce 0.0000 0.0000 0.0000 (multiplicity 3)
Ce 0.0000 0.0000 0.1896 (multiplicity 3)
Zn 0.0000 0.0000 0.7613 (multiplicity 3)
P 0.0000 0.0000 0.5944 (multiplicity 3)

The data favor *one*; the next most stable structure lies 17 meV per atom above it.

*one*
The following is a PBE calculation of CeZnP2 after structural relaxation, from the Alexandria database.

a = 4.4628 Å, b = 4.4628 Å, c = 3.6729 Å
α = 90.00°, β = 90.00°, γ = 90.00°
Space group P4/mmm (No. 123)
Inequivalent atoms, fractional coordinates:
Ce 0.0000 0.0000 0.0000 (multiplicity 1)
Zn 0.5000 0.5000 0.0000 (multiplicity 1)
P 0.0000 0.5000 0.5000 (multiplicity 2)

*two*
The following is a PBE calculation of CeZnP2 after structural relaxation, from the Alexandria database.

a = 4.3603 Å, b = 4.3603 Å, c = 21.2443 Å
α = 90.00°, β = 90.00°, γ = 120.00°
Space group R-3m (No. 166, hexagonal axes)
Inequivalent atoms, fractional coordinates:
Ce 0.0000 0.0000 0.0000 (multiplicity 3)
Zn 0.0000 0.0000 0.5000 (multiplicity 3)
P 0.0000 0.0000 0.3955 (multiplicity 6)

The data favor *one*; the next most stable structure lies 143 meV per atom above it.

*one*
The following is a PBE calculation of CeZrP2 after structural relaxation, from the Alexandria database.

a = 3.8932 Å, b = 3.8932 Å, c = 19.1830 Å
α = 90.00°, β = 90.00°, γ = 120.00°
Space group R-3m (No. 166, hexagonal axes)
Inequivalent atoms, fractional coordinates:
Ce 0.0000 0.0000 0.0000 (multiplicity 3)
Zr 0.0000 0.0000 0.5000 (multiplicity 3)
P 0.0000 0.0000 0.2436 (multiplicity 6)

*two*
The following is a PBE calculation of CeZrP2 after structural relaxation, from the Alexandria database.

a = 3.7972 Å, b = 3.7972 Å, c = 20.4848 Å
α = 90.00°, β = 90.00°, γ = 120.00°
Space group R3m (No. 160, hexagonal axes)
Inequivalent atoms, fractional coordinates:
Ce 0.0000 0.0000 0.0000 (multiplicity 3)
Zr 0.0000 0.0000 0.8261 (multiplicity 3)
P 0.0000 0.0000 0.2380 (multiplicity 3)
P 0.0000 0.0000 0.4204 (multiplicity 3)

The data favor *one*; the next most stable structure lies 138 meV per atom above it.

*one*
The following is a PBE calculation of CePa8 after structural relaxation, from the Alexandria database.

a = 9.8783 Å, b = 9.8783 Å, c = 4.6604 Å
α = 90.00°, β = 90.00°, γ = 90.00°
Space group I4/mmm (No. 139)
Inequivalent atoms, fractional coordinates:
Ce 0.0000 0.0000 0.0000 (multiplicity 2)
Pa 0.0000 0.3341 0.0000 (multiplicity 8)
Pa 0.1676 0.1676 0.5000 (multiplicity 8)

*two*
The following is a PBE calculation of CePa8 after structural relaxation, from the Alexandria database.

a = 11.7854 Å, b = 11.7854 Å, c = 3.2190 Å
α = 90.00°, β = 90.00°, γ = 90.00°
Space group I4/mmm (No. 139)
Inequivalent atoms, fractional coordinates:
Ce 0.0000 0.0000 0.0000 (multiplicity 2)
Pa 0.0000 0.3333 0.0000 (multiplicity 8)
Pa 0.1688 0.1688 0.5000 (multiplicity 8)

The data favor *one*; the next most stable structure lies 23 meV per atom above it.

*one*
The following is a PBE calculation of Ce5Pa after structural relaxation, from the Alexandria database.

a = 3.2221 Å, b = 3.2221 Å, c = 17.1992 Å
α = 90.00°, β = 90.00°, γ = 120.00°
Space group P-6m2 (No. 187)
Inequivalent atoms, fractional coordinates:
Ce 0.0000 0.0000 0.0000 (multiplicity 1)
Ce 0.0000 0.0000 0.3348 (multiplicity 2)
Ce 0.3333 0.6667 0.1677 (multiplicity 2)
Pa 0.3333 0.6667 0.5000 (multiplicity 1)

*two*
The following is a PBE calculation of Ce5Pa after structural relaxation, from the Alexandria database.

a = 4.6859 Å, b = 14.1789 Å, c = 4.6573 Å
α = 90.00°, β = 90.00°, γ = 90.00°
Space group Cmmm (No. 65)
Inequivalent atoms, fractional coordinates:
Ce 0.0000 0.0000 0.0000 (multiplicity 2)
Ce 0.0000 0.1655 0.5000 (multiplicity 4)
Ce 0.0000 0.3340 0.0000 (multiplicity 4)
Pa 0.0000 0.5000 0.5000 (multiplicity 2)

The data favor *two*; the next most stable structure lies 57 meV per atom above it.

*one*
The following is a PBE calculation of Ce2Pa after structural relaxation, from the Alexandria database.

a = 3.1062 Å, b = 3.1062 Å, c = 31.0674 Å
α = 90.00°, β = 90.00°, γ = 90.00°
Space group I4_1/amd (No. 141, origin choice 2)
Inequivalent atoms, fractional coordinates:
Ce 0.0000 0.2500 0.2923 (multiplicity 8)
Pa 0.0000 0.2500 0.8750 (multiplicity 4)

*two*
The following is a PBE calculation of Ce2Pa after structural relaxation, from the Alexandria database.

a = 8.4307 Å, b = 8.4307 Å, c = 8.4307 Å
α = 90.00°, β = 90.00°, γ = 90.00°
Space group Fd-3m (No. 227, origin choice 2)
Inequivalent atoms, fractional coordinates:
Ce 0.0000 0.0000 0.0000 (multiplicity 16)
Pa 0.1250 0.1250 0.6250 (multiplicity 8)

*three*
The following is a PBE calculation of Ce2Pa after structural relaxation, from the Alexandria database.

a = 3.2071 Å, b = 16.3828 Å, c = 5.7386 Å
α = 90.00°, β = 90.00°, γ = 90.00°
Space group Fmm2 (No. 42)
Inequivalent atoms, fractional coordinates:
Ce 0.0000 0.1701 0.0000 (multiplicity 8)
Pa 0.0000 0.0000 0.7025 (multiplicity 4)

The data favor *three*; the next most stable structure lies 24 meV per atom above it.

*one*
The following is a PBE calculation of Ce3Pa2 after structural relaxation, from the Alexandria database.

a = 3.2985 Å, b = 3.2985 Å, c = 40.6909 Å
α = 90.00°, β = 90.00°, γ = 120.00°
Space group R-3m (No. 166, hexagonal axes)
Inequivalent atoms, fractional coordinates:
Ce 0.0000 0.0000 0.0000 (multiplicity 3)
Ce 0.0000 0.0000 0.4003 (multiplicity 6)
Pa 0.0000 0.0000 0.1997 (multiplicity 6)

*two*
The following is a PBE calculation of Ce3Pa2 after structural relaxation, from the Alexandria database.

a = 3.2749 Å, b = 3.2749 Å, c = 23.8807 Å
α = 90.00°, β = 90.00°, γ = 90.00°
Space group I4/mmm (No. 139)
Inequivalent atoms, fractional coordinates:
Ce 0.0000 0.0000 0.0000 (multiplicity 2)
Ce 0.0000 0.0000 0.1986 (multiplicity 4)
Pa 0.0000 0.0000 0.3997 (multiplicity 4)

The data favor *one*; the next most stable structure lies 18 meV per atom above it.